Record 1
# NdTeClO4 | Alexandria via LeMat-Bulk | GGA-PBE | relaxed
data_NdTeClO4
_cell_length_a 10.583
_cell_length_b 7.525
_cell_length_c 7.152
_cell_angle_alpha 90.00
_cell_angle_beta 105.92
_cell_angle_gamma 90.00
_symmetry_space_group_name_H-M 'C 1 2/m 1'
_symmetry_Int_Tables_number 12
loop_
_symmetry_equiv_pos_as_xyz
'x,y,z'
'-x,-y,-z'
'-x,y,-z'
'x,-y,z'
'x+1/2,y+1/2,z'
'-x+1/2,-y+1/2,-z'
'-x+1/2,y+1/2,-z'
'x+1/2,-y+1/2,z'
loop_
_atom_site_label
_atom_site_type_symbol
_atom_site_fract_x
_atom_site_fract_y
_atom_site_fract_z
Nd1 Nd 0.222 0.000 0.120
Te1 Te 0.138 0.500 0.272
Cl1 Cl 0.015 0.000 0.772
O1 O 0.040 0.500 0.777
O2 O 0.197 0.318 0.141
O3 O 0.223 0.500 0.530
# Energy relative to the elements, uncorrected: -1756 meV per atom
# Final energy: -167.53 eV/cell



Record 2
# LaVSi | Alexandria via LeMat-Bulk | GGA-PBE | relaxed
data_LaVSi
_cell_length_a 3.909
_cell_length_b 3.909
_cell_length_c 8.493
_cell_angle_alpha 90.00
_cell_angle_beta 90.00
_cell_angle_gamma 90.00
_symmetry_space_group_name_H-M 'P 4/n m m'
_symmetry_Int_Tables_number 129
loop_
_symmetry_equiv_pos_as_xyz
'x,y,z'
'-x,-y,-z'
'-y+1/2,x,z'
'y+1/2,-x,-z'
'-x+1/2,-y+1/2,z'
'x+1/2,y+1/2,-z'
'y,-x+1/2,z'
'-y,x+1/2,-z'
'x+1/2,-y,-z'
'-x+1/2,y,z'
'-y,-x,-z'
'y,x,z'
'-x,y+1/2,-z'
'x,-y+1/2,z'
'y+1/2,x+1/2,-z'
'-y+1/2,-x+1/2,z'
loop_
_atom_site_label
_atom_site_type_symbol
_atom_site_fract_x
_atom_site_fract_y
_atom_site_fract_z
La1 La 0.250 0.250 0.162
V1 V 0.250 0.750 0.500
Si1 Si 0.250 0.250 0.691
# Energy relative to the elements, uncorrected: -466 meV per atom
# Final energy: -41.73 eV/cell